Here is an optimized crystal structure of YBSN2 from the Alexandria database. Energies are from PBE.

Values from the calculation:
**Fermi-level density of states**: 2.050 states/eV per cell
**Density**: 2.39 Mg/m³
**SG**: P4/mmm (123)
**E**: -5.1342 eV/atom
**Total magnetization**: 4.00 μB per cell
**Formation energy without anion corrections**: 8.2 eV per formula unit

Geometry as extended XYZ:
```
5
Lattice="4.5313 0.0000 0.0000 0.0000 4.5313 0.0000 0.0000 0.0000 5.4086" Properties=species:S:1:pos:R:3 pbc="T T T"
S 0.0000 0.0000 2.7043
B 2.2657 2.2657 2.7043
N 2.2657 0.0000 0.0000
N 0.0000 2.2657 0.0000
Y 0.0000 0.0000 0.0000
```

---

Here is an optimized crystal structure of YBSN2 from the Alexandria database. Energies are from PBE.

Values from the calculation:
**Fermi-level density of states**: 2.816 states/eV per cell
**Density**: 4.48 Mg/m³
**SG**: P4/mmm (123)
**E**: -6.4547 eV/atom
**Total magnetization**: 0.00 μB per cell
**Formation energy without anion corrections**: 1.6 eV per formula unit

Geometry as extended XYZ:
```
5
Lattice="-2.2072 -2.3006 1.6713 1.9253 0.3479 3.0215 -2.6564 3.4865 1.2911" Properties=species:S:1:pos:R:3 pbc="T T T"
S -1.3282 1.7433 0.6456
N -1.1036 -1.1503 0.8356
N 0.9626 0.1740 1.5108
B 0.0000 0.0000 0.0000
Y -1.4691 0.7669 2.9920
```

---

Here is an optimized crystal structure of ZnB2SN from the Alexandria database. Energies are from PBE.

Values from the calculation:
**Fermi-level density of states**: 1.554 states/eV per cell
**Density**: 2.80 Mg/m³
**SG**: P4/mmm (123)
**E**: -4.2961 eV/atom
**Total magnetization**: 0.87 μB per cell
**Formation energy without anion corrections**: 5.6 eV per formula unit

Geometry as extended XYZ:
```
5
Lattice="3.2128 0.0000 0.0000 0.0000 7.6480 0.0000 0.0000 0.0000 3.2128" Properties=species:S:1:pos:R:3 pbc="T T T"
B 0.0000 0.0000 1.6064
B 1.6064 0.0000 0.0000
S 1.6064 3.8240 1.6064
Zn 0.0000 3.8240 0.0000
N 0.0000 0.0000 0.0000
```

---

Here is an optimized crystal structure of ZrBS2N from the Alexandria database. Energies are from PBE.

Values from the calculation:
**Fermi-level density of states**: 2.232 states/eV per cell
**Density**: 2.78 Mg/m³
**SG**: P4/mmm (123)
**E**: -5.5394 eV/atom
**Total magnetization**: 1.90 μB per cell
**Formation energy without anion corrections**: 4.1 eV per formula unit

Geometry as extended XYZ:
```
5
Lattice="-1.0936 4.9295 0.2515 -0.4270 0.1622 -5.0350 -4.0999 -0.9258 0.3179" Properties=species:S:1:pos:R:3 pbc="T T T"
N -2.0500 -0.4629 0.1590
S -0.2135 0.0811 -2.5175
S -0.5468 2.4648 0.1258
B -2.8103 2.0830 -2.2328
Zr 0.0000 0.0000 0.0000
```

---

Here is an optimized crystal structure of ZrBS2N from the Alexandria database. Energies are from PBE.

Values from the calculation:
**Fermi-level density of states**: 1.696 states/eV per cell
**Density**: 4.05 Mg/m³
**SG**: P4/mmm (123)
**E**: -6.4481 eV/atom
**Total magnetization**: 0.00 μB per cell
**Formation energy without anion corrections**: -0.4 eV per formula unit

Geometry as extended XYZ:
```
5
Lattice="-3.9295 0.9611 -3.3683 0.0925 -5.0318 -1.5438 -1.7721 -0.6132 1.8924" Properties=species:S:1:pos:R:3 pbc="T T T"
S 0.0463 -2.5159 -0.7719
S -1.9648 0.4806 -1.6842
N -0.8861 -0.3066 0.9462
Zr -2.8046 -2.3419 -1.5098
B 0.0000 0.0000 0.0000
```

---

Here is an optimized crystal structure of B2SbN from the Alexandria database. Energies are from PBE.

Values from the calculation:
**Fermi-level density of states**: 0.000 states/eV per cell
**Density**: 5.87 Mg/m³
**SG**: I-42d (122)
**E**: -6.0462 eV/atom
**Total magnetization**: 0.00 μB per cell
**Formation energy without anion corrections**: 1.6 eV per formula unit

Geometry as extended XYZ:
```
8
Lattice="4.5498 0.0000 0.0000 0.0000 4.5498 0.0000 2.2749 2.2749 4.3000" Properties=species:S:1:pos:R:3 pbc="T T T"
Sb 4.5498 2.2749 2.1500
Sb 0.0000 0.0000 0.0000
N 2.2749 2.2749 0.0000
N 2.2749 4.5498 2.1500
B 5.6872 5.1956 3.2250
B 3.4123 3.9039 3.2250
B 2.9207 1.1374 1.0750
B 1.6290 3.4123 1.0750
```

---

Here is an optimized crystal structure of B2SbN2 from the Alexandria database. Energies are from PBE.

Values from the calculation:
**Fermi-level density of states**: 2.647 states/eV per cell
**Density**: 5.09 Mg/m³
**SG**: P4/mbm (127)
**E**: -5.1694 eV/atom
**Total magnetization**: 0.00 μB per cell
**Formation energy without anion corrections**: 8.3 eV per formula unit

Geometry as extended XYZ:
```
10
Lattice="-1.2725 4.9041 3.8672 0.2388 -3.9055 5.0313 2.6929 0.4959 0.2571" Properties=species:S:1:pos:R:3 pbc="T T T"
B -0.9990 2.0531 6.5015
B -0.2920 -1.5553 6.0576
B -0.7416 2.5539 2.8409
B -0.0347 -1.0545 2.3970
N 0.8455 1.9116 2.1663
N 1.3734 -1.6154 3.4406
N 0.8138 -0.4170 6.9893
N 0.2859 3.1099 5.7150
Sb 0.0000 0.0000 0.0000
Sb -0.5168 0.4993 4.4492
```

---

Here is an optimized crystal structure of BSbN3 from the Alexandria database. Energies are from PBE.

Values from the calculation:
**Fermi-level density of states**: 3.870 states/eV per cell
**Density**: 6.74 Mg/m³
**SG**: Pm-3m (221)
**E**: -5.7044 eV/atom
**Total magnetization**: 0.00 μB per cell
**Formation energy without anion corrections**: 7.3 eV per formula unit

Geometry as extended XYZ:
```
5
Lattice="3.5037 0.0000 0.0000 0.0000 3.5037 0.0000 0.0000 0.0000 3.5037" Properties=species:S:1:pos:R:3 pbc="T T T"
Sb 1.7518 1.7518 1.7518
B 0.0000 0.0000 0.0000
N 0.0000 1.7518 0.0000
N 0.0000 0.0000 1.7518
N 1.7518 0.0000 0.0000
```

---

Here is an optimized crystal structure of BSbN from the Alexandria database. Energies are from PBE.

Values from the calculation:
**Fermi-level density of states**: 0.985 states/eV per cell
**Density**: 4.51 Mg/m³
**SG**: P-1 (2)
**E**: -6.3714 eV/atom
**Total magnetization**: 0.00 μB per cell
**Formation energy without anion corrections**: 0.0 eV per formula unit

Geometry as extended XYZ:
```
6
Lattice="-0.4443 -3.3408 -0.3534 0.8569 0.1693 -2.6796 10.4991 0.1500 4.8661" Properties=species:S:1:pos:R:3 pbc="T T T"
B 1.1576 -0.2244 -1.8672
B 9.7541 -2.7972 3.7003
Sb 6.6033 -0.1359 2.8519
Sb 4.3085 -2.8857 -1.0188
N 9.9470 -2.5044 2.2984
N 0.9647 -0.5171 -0.4653
```

---

Here is an optimized crystal structure of B2SbN2 from the Alexandria database. Energies are from PBE.

Values from the calculation:
**Fermi-level density of states**: 1.067 states/eV per cell
**Density**: 6.28 Mg/m³
**SG**: I4/mmm (139)
**E**: -5.4554 eV/atom
**Total magnetization**: 0.00 μB per cell
**Formation energy without anion corrections**: 6.9 eV per formula unit

Geometry as extended XYZ:
```
5
Lattice="-2.7326 2.2680 -0.6805 -1.6557 -2.5730 -1.9268 -3.8158 -1.2490 1.5541" Properties=species:S:1:pos:R:3 pbc="T T T"
B -2.6404 -0.4542 -0.5174
B -5.5638 -1.0998 -0.5359
Sb 0.0000 0.0000 0.0000
N -4.3713 0.4332 -0.2150
N -3.8328 -1.9873 -0.8382
```

---

Here is an optimized crystal structure of BSbN3 from the Alexandria database. Energies are from PBE.

Values from the calculation:
**Fermi-level density of states**: 0.922 states/eV per cell
**Density**: 4.31 Mg/m³
**SG**: Pm-3m (221)
**E**: -4.6227 eV/atom
**Total magnetization**: 3.00 μB per cell
**Formation energy without anion corrections**: 12.7 eV per formula unit

Geometry as extended XYZ:
```
5
Lattice="4.0670 0.0000 0.0000 0.0000 4.0670 0.0000 0.0000 0.0000 4.0670" Properties=species:S:1:pos:R:3 pbc="T T T"
N 2.0335 0.0000 0.0000
N 0.0000 2.0335 0.0000
N 0.0000 0.0000 2.0335
Sb 0.0000 0.0000 0.0000
B 2.0335 2.0335 2.0335
```

---

Here is an optimized crystal structure of BSb3N from the Alexandria database. Energies are from PBE.

Values from the calculation:
**Fermi-level density of states**: 3.978 states/eV per cell
**Density**: 6.21 Mg/m³
**SG**: Pm-3m (221)
**E**: -4.1424 eV/atom
**Total magnetization**: 0.00 μB per cell
**Formation energy without anion corrections**: 6.7 eV per formula unit

Geometry as extended XYZ:
```
5
Lattice="-3.4519 -0.8552 3.0839 0.5386 -4.6266 -0.6801 3.1547 -0.1459 3.4907" Properties=species:S:1:pos:R:3 pbc="T T T"
Sb -1.7260 -0.4276 1.5420
Sb 1.5773 -0.0729 1.7453
Sb 0.2693 -2.3133 -0.3400
N 0.0000 0.0000 0.0000
B 0.1207 -2.8138 2.9472
```